1.
An optimized crystal structure of BaScI2N, computed with PBE.

Geometry as POSCAR:
```
BaScI2N
1.0
6.069 0.000 0.000
0.000 6.069 0.000
0.000 0.000 4.072
Ba Sc I N
1 1 2 1
Cartesian
0.000 0.000 0.000
3.035 3.035 2.036
0.000 3.035 2.036
3.035 0.000 2.036
3.035 3.035 0.000
```

Summary:
Formation energy without anion corrections   -0.920 eV/atom
Crystal system   tetragonal

2.
An optimized crystal structure of BaScI2N, computed with PBE.

Geometry as POSCAR:
```
BaScI2N
1.0
6.625 0.000 0.000
0.000 6.625 0.000
0.000 0.000 4.424
Ba Sc I N
1 1 2 1
Cartesian
0.000 0.000 0.000
3.313 3.313 2.212
0.000 3.313 0.000
3.313 0.000 0.000
0.000 0.000 2.212
```

Summary:
Formation energy without anion corrections   0.331 eV/atom
Crystal system   tetragonal

3.
An optimized crystal structure of BaSe2IN, computed with PBE.

Geometry as POSCAR:
```
BaSe2IN
1.0
6.495 0.000 0.000
0.000 6.495 0.000
0.000 0.000 5.366
Ba Se I N
1 2 1 1
Cartesian
0.000 0.000 0.000
0.000 3.247 0.000
3.247 0.000 0.000
3.247 3.247 2.683
0.000 0.000 2.683
```

Summary:
Formation energy without anion corrections   0.814 eV/atom
Crystal system   tetragonal

4.
An optimized crystal structure of BaSeI2N, computed with PBE.

Geometry as POSCAR:
```
BaSeI2N
1.0
6.752 0.000 0.000
0.000 6.752 0.000
0.000 0.000 5.335
Ba Se I N
1 1 2 1
Cartesian
0.000 0.000 0.000
3.376 3.376 2.668
0.000 3.376 0.000
3.376 0.000 0.000
0.000 0.000 2.668
```

Summary:
Formation energy without anion corrections   0.606 eV/atom
Crystal system   tetragonal

For reference, excess energy over the best structure of this formula in the dataset by record: 0.000 1.251 0.702 0.685 eV/atom.
For reference, E by record: -4.856 -3.605 -2.939 -2.761 eV per atom.
For reference, M_tot by record: 0.000 0.234 1.206 0.482 μB per atom.